[1]
Compound: Zn2SnI
Source: the Alexandria database
Functional: PBE-GGA
Structure: relaxed

Properties
energy: -15.8 eV/cell
energy relative to the lowest polymorph listed for this composition: 0 meV per atom
calculated volume: 32.89 A^3/atom
uncorrected formation energy: 19 kJ/mol of formula units

Lattice parameters (Å, degrees): 6.501 6.501 7.740 65.17 65.17 90.00
Positions (direct):
Sn (0.250, 0.750, 0.500)
Sn (0.500, 0.500, 0.000)
Zn (0.590, 0.125, 0.250)
Zn (0.875, 0.840, 0.750)
Zn (0.160, 0.625, 0.250)
Zn (0.375, 0.410, 0.750)
I (0.750, 0.250, 0.500)
I (0.000, 0.000, 0.000)

---

[2]
Compound: FeHgTeN2
Source: the Alexandria database
Functional: PBE-GGA
Structure: relaxed

Properties
energy: -23.6 eV/cell
energy relative to the lowest polymorph listed for this composition: 0 meV per atom
calculated volume: 16.24 A^3/atom
uncorrected formation energy: 479 kJ/mol of formula units

Lattice parameters (Å, degrees): 3.823 3.823 5.554 90.00 90.00 90.00
Each line ends with the local moment (μB).
Positions (direct):
Hg (0.500, 0.500, 0.500)  0.00
Te (0.000, 0.000, 0.500)  0.00
N (0.500, 0.000, 0.000)  0.06
N (0.000, 0.500, 0.000)  0.06
Fe (0.000, 0.000, 0.000)  -0.09

---

[3]
Compound: SbP2Cl
Source: the Alexandria database
Functional: PBE-GGA
Structure: relaxed

Properties
energy: -15.3 eV/cell
energy relative to the lowest polymorph listed for this composition: 409 meV per atom
calculated volume: 21.65 A^3/atom
uncorrected formation energy: 145 kJ/mol of formula units

Lattice parameters (Å, degrees): 6.907 6.907 6.907 32.92 32.92 32.92
Positions (direct):
Sb (0.250, 0.250, 0.250)
Cl (0.750, 0.750, 0.750)
P (0.508, 0.508, 0.508)
P (0.992, 0.992, 0.992)

---

[4]
Compound: NbCrGaRe
Source: the Alexandria database
Functional: PBE-GGA
Structure: relaxed

Properties
formation enthalpy at 0 K: -0.23 eV/f.u.
energy: -35.4 eV/cell
calculated volume: 15.33 A^3/atom

Lattice parameters (Å, degrees): 4.426 4.426 4.426 60.00 60.00 60.00
Each line ends with the local moment (μB).
Positions (direct):
Ga (0.250, 0.250, 0.250)  -0.03
Nb (0.750, 0.750, 0.750)  -0.24
Cr (0.000, 0.000, 0.000)  2.67
Re (0.500, 0.500, 0.500)  0.33

---

[5]
Compound: MnIrRh5
Source: the Alexandria database
Functional: PBE-GGA
Structure: relaxed

Properties
formation enthalpy at 0 K: 0.80 eV/f.u.
energy: -108.0 eV/cell
calculated volume: 14.72 A^3/atom

Lattice parameters (Å, degrees): 4.901 4.901 9.108 102.33 102.33 96.25
Each line ends with the local moment (μB).
Positions (direct):
Rh (0.455, 0.760, 0.035)  -0.06
Rh (0.760, 0.455, 0.535)  -0.06
Rh (0.995, 0.600, 0.160)  -0.07
Rh (0.240, 0.545, 0.465)  -0.06
Rh (0.871, 0.129, 0.250)  -0.20
Rh (0.545, 0.240, 0.965)  -0.06
Rh (0.129, 0.871, 0.750)  -0.20
Rh (0.005, 0.400, 0.840)  -0.07
Rh (0.400, 0.005, 0.340)  -0.07
Rh (0.600, 0.995, 0.660)  -0.07
Ir (0.485, 0.515, 0.750)  0.06
Ir (0.515, 0.485, 0.250)  0.06
Mn (0.000, 0.000, 0.000)  3.46
Mn (0.000, 0.000, 0.500)  3.46

---

[6]
Compound: Li2PuPb3O6
Source: the Alexandria database
Functional: PBE-GGA
Structure: relaxed

Properties
energy: -78.9 eV/cell
calculated volume: 15.73 A^3/atom
uncorrected formation energy: -1913 kJ/mol of formula units

Lattice parameters (Å, degrees): 6.155 6.155 6.084 96.49 96.49 122.60
Each line ends with the local moment (μB).
Positions (direct):
Pb (0.500, 0.500, 0.500)  0.01
Pb (0.171, 0.829, 0.500)  0.01
Pb (0.829, 0.171, 0.500)  0.01
Li (0.288, 0.712, 0.000)  0.00
Li (0.712, 0.288, 0.000)  0.00
O (0.079, 0.375, 0.183)  -0.05
O (0.188, 0.188, 0.713)  -0.03
O (0.625, 0.921, 0.817)  -0.05
O (0.921, 0.625, 0.817)  -0.05
O (0.375, 0.079, 0.183)  -0.05
O (0.812, 0.812, 0.287)  -0.03
Pu (0.000, 0.000, 0.000)  4.12

---

[7]
Compound: ZnAg3Pd4
Source: the Alexandria database
Functional: PBE-GGA
Structure: relaxed

Properties
formation enthalpy at 0 K: -0.12 eV/f.u.
energy: -30.7 eV/cell
energy relative to the lowest polymorph listed for this composition: 139 meV per atom
calculated volume: 16.68 A^3/atom

Lattice parameters (Å, degrees): 5.934 5.934 5.934 80.67 125.77 125.28
Positions (direct):
Pd (0.089, 0.747, 0.836)
Pd (0.589, 0.247, 0.341)
Pd (0.094, 0.753, 0.341)
Pd (0.089, 0.253, 0.343)
Zn (0.291, 0.500, 0.791)
Ag (0.584, 0.266, 0.851)
Ag (0.584, 0.734, 0.318)
Ag (0.830, 0.000, 0.830)

---

[8]
Compound: Sm3MgSi6
Source: the Alexandria database
Functional: PBE-GGA
Structure: relaxed

Properties
energy: -107.1 eV/cell
calculated volume: 20.56 A^3/atom
uncorrected formation energy: -507 kJ/mol of formula units

Lattice parameters (Å, degrees): 7.524 7.524 7.524 98.29 98.29 98.29
Positions (direct):
Si (0.884, 0.592, 0.519)
Si (0.116, 0.408, 0.481)
Si (0.481, 0.116, 0.408)
Si (0.384, 0.019, 0.092)
Si (0.408, 0.481, 0.116)
Si (0.092, 0.384, 0.019)
Si (0.592, 0.519, 0.884)
Si (0.019, 0.092, 0.384)
Si (0.981, 0.908, 0.616)
Si (0.908, 0.616, 0.981)
Si (0.616, 0.981, 0.908)
Si (0.519, 0.884, 0.592)
Sm (0.189, 0.750, 0.311)
Sm (0.250, 0.689, 0.811)
Sm (0.689, 0.811, 0.250)
Sm (0.750, 0.311, 0.189)
Sm (0.811, 0.250, 0.689)
Sm (0.311, 0.189, 0.750)
Mg (0.000, 0.000, 0.000)
Mg (0.500, 0.500, 0.500)

---

[9]
Compound: KZnAu3
Source: the Alexandria database
Functional: PBE-GGA
Structure: relaxed

Properties
formation enthalpy at 0 K: 5.84 eV/f.u.
energy: -6.4 eV/cell
energy relative to the lowest polymorph listed for this composition: 1387 meV per atom
calculated volume: 38.32 A^3/atom

Lattice parameters (Å, degrees): 5.765 5.765 5.765 90.00 90.00 90.00
Positions (direct):
Au (0.000, 0.500, 0.000)
Au (0.000, 0.000, 0.500)
Au (0.500, 0.000, 0.000)
Zn (0.500, 0.500, 0.500)
K (0.000, 0.000, 0.000)

---

[10]
Compound: V4FeRe
Source: the Alexandria database
Functional: PBE-GGA
Structure: relaxed

Properties
formation enthalpy at 0 K: -1.36 eV/f.u.
energy: -58.7 eV/cell
energy relative to the lowest polymorph listed for this composition: 0 meV per atom
calculated volume: 13.09 A^3/atom

Lattice parameters (Å, degrees): 2.969 2.969 8.913 90.00 90.00 90.00
Each line ends with the local moment (μB).
Positions (direct):
V (0.500, 0.500, 0.172)  0.04
V (0.000, 0.000, 0.659)  -0.26
V (0.500, 0.500, 0.828)  0.04
V (0.000, 0.000, 0.341)  -0.26
Re (0.000, 0.000, 0.000)  -0.02
Fe (0.500, 0.500, 0.500)  0.83